The following is a PBE with a Hubbard U calculation of crystalline KCeMgWO6 at its relaxed geometry, from the Alexandria database.

Unit cell a=5.643 b=5.643 c=5.643 alpha=60.00 beta=60.00 gamma=60.00
Atoms (fractional coordinates):
1 K 0.000 0.000 0.000
2 Ce 0.500 0.500 0.500
3 Mg 0.750 0.750 0.750
4 W 0.250 0.250 0.250
5 O 0.007 0.007 0.493
6 O 0.007 0.493 0.007
7 O 0.007 0.493 0.493
8 O 0.493 0.007 0.007
9 O 0.493 0.007 0.493
10 O 0.493 0.493 0.007

## Properties
Crystal system: cubic
Raw total energy (eV per atom): -7.020
Spin magnetization (μB per cell): 1.0